First-principles (SCAN) data for a crystal of MgNbHg2Au relaxed with PBEsol, as listed in Alexandria via LeMat-Bulk.

Geometry as POSCAR:
```
MgNbHg2Au
1.0
-2.7012 -1.9443 3.7185
0.8741 -4.8875 -1.9206
4.3901 -0.3883 2.9861
Mg Nb Au Hg
1 1 1 2
direct
0.5000 0.5000 0.5000
0.0000 0.0000 0.0000
0.5000 0.0000 0.0000
0.0000 0.0000 0.5000
0.0000 0.5000 0.0000
```

Computed properties:
Calculated density: 8.4 g cm⁻³
D(E_F): 4.213 states/eV per cell
Energy relative to the elements: 3.43 eV/f.u.
Space-group type: P4/mmm (123)
Calculated volume: 141 Å³/cell



First-principles (SCAN) data for a crystal of YAg3O relaxed with PBEsol, as listed in Alexandria via LeMat-Bulk.

Geometry as POSCAR:
```
YAg3O
1.0
5.4641 0.0000 0.0000
0.0000 5.4641 0.0000
0.0000 0.0000 5.4641
Y O Ag
1 1 3
direct
0.0000 0.0000 0.0000
0.5000 0.5000 0.5000
0.0000 0.5000 0.0000
0.0000 0.0000 0.5000
0.5000 0.0000 0.0000
```

Computed properties:
Calculated density: 4.4 g cm⁻³
D(E_F): 4.958 states/eV per cell
Space-group type: Pm-3m (221)
Calculated volume: 163 Å³/cell



First-principles (SCAN) data for a crystal of LiLaTa2 relaxed with PBEsol, as listed in Alexandria via LeMat-Bulk.

Geometry as POSCAR:
```
LiLaTa2
1.0
-1.6244 -2.3755 0.3163
0.9766 0.4510 -4.8467
4.9972 -3.2635 1.1539
La Li Ta
1 1 2
direct
0.4954 0.9909 0.4935
0.7423 0.4846 0.2213
0.0016 0.0033 0.9788
0.2606 0.5213 0.8065
```

Computed properties:
Calculated density: 10.1 g cm⁻³
D(E_F): 3.821 states/eV per cell
Energy relative to the elements: 2.14 eV/f.u.
Space-group type: Cm (8)
Calculated volume: 83 Å³/cell
Polymorph energy (0 for the lowest one): 3.86 kcal/mol of atoms



First-principles (SCAN) data for a crystal of In2CuTe relaxed with PBEsol, as listed in Alexandria via LeMat-Bulk.

Geometry as POSCAR:
```
In2CuTe
1.0
-2.7749 -4.0149 1.4100
-0.6227 -3.9040 -3.1904
2.2663 -4.4456 0.9530
Cu In Te
1 2 1
direct
0.5000 0.5000 0.5000
0.0000 0.0000 0.0000
0.7500 0.7500 0.7500
0.2500 0.2500 0.2500
```

Computed properties:
Calculated density: 7.5 g cm⁻³
D(E_F): 2.045 states/eV per cell
Space-group type: F-43m (216)
Calculated volume: 93 Å³/cell



First-principles (SCAN) data for a crystal of CrCdCo2 relaxed with PBEsol, as listed in Alexandria via LeMat-Bulk.

Geometry as POSCAR:
```
CrCdCo2
1.0
-1.5239 -1.2082 -1.7937
2.9413 -3.0295 1.4929
-3.3388 -0.3671 3.0838
Cd Co Cr
1 2 1
direct
0.7481 0.4962 0.2332
0.9858 0.9715 0.9685
0.2492 0.4983 0.7281
0.5170 0.0340 0.5703
```

Computed properties:
Calculated density: 9.3 g cm⁻³
D(E_F): 3.862 states/eV per cell
Energy relative to the elements: 1.92 eV/f.u.
Space-group type: Cm (8)
Calculated volume: 50 Å³/cell



First-principles (SCAN) data for a crystal of Ta2Ti2Ni2C relaxed with PBEsol, as listed in Alexandria via LeMat-Bulk.

Geometry as POSCAR:
```
Ta2Ti2Ni2C
1.0
8.0588 0.0033 0.0047
-4.0037 6.9938 -0.0047
-4.0037 -2.3533 6.5860
Ta Ti Ni C
8 8 8 4
direct
0.0000 0.3153 0.3153
0.0000 0.6847 0.6847
0.8663 0.9331 0.4331
0.1337 0.5669 0.0669
0.5000 0.5669 0.4331
0.5000 0.9331 0.0669
0.5000 0.9352 0.4352
0.5000 0.5648 0.0648
0.7491 0.1268 0.8759
0.7491 0.6224 0.8732
0.2509 0.1241 0.8732
0.2509 0.1268 0.3776
0.6307 0.3154 0.3154
0.3693 0.6846 0.6846
0.0000 0.6846 0.3154
0.0000 0.3154 0.6846
0.1598 0.9202 0.0801
0.1598 0.2396 0.0798
0.8402 0.9199 0.0798
0.8402 0.9202 0.7604
0.3283 0.3378 0.6662
0.3283 0.9905 0.6622
0.6717 0.3338 0.6622
0.6717 0.3378 0.0095
0.7510 0.6218 0.3728
0.7510 0.1292 0.3782
0.2490 0.6272 0.3782
0.2490 0.6218 0.8708
```

Computed properties:
Calculated density: 10.5 g cm⁻³
D(E_F): 28.262 states/eV per cell
Energy relative to the elements: -3.64 eV/f.u.
Space-group type: I-4m2 (119)
Calculated volume: 371 Å³/cell



First-principles (SCAN) data for a crystal of TlIrCl relaxed with PBEsol, as listed in Alexandria via LeMat-Bulk.

Geometry as POSCAR:
```
TlIrCl
1.0
-2.4430 -1.5463 3.4221
-0.9536 -4.3684 0.2777
1.9235 -2.5156 3.1689
Tl Ir Cl
1 1 1
direct
0.5000 0.5000 0.5000
0.0000 0.0000 0.0000
0.2500 0.2500 0.2500
```

Computed properties:
Calculated density: 11.3 g cm⁻³
D(E_F): 3.857 states/eV per cell
Space-group type: F-43m (216)
Calculated volume: 64 Å³/cell
Polymorph energy (0 for the lowest one): 18.35 kcal/mol of atoms



First-principles (SCAN) data for a crystal of La2CdCo relaxed with PBEsol, as listed in Alexandria via LeMat-Bulk.

Geometry as POSCAR:
```
La2CdCo
1.0
3.7262 0.0000 0.0000
0.0000 4.8389 0.0000
0.0000 -2.4195 5.5611
Cd Co La
1 1 2
direct
0.0000 0.6877 0.3754
0.5000 0.5096 0.0192
0.0000 0.9907 0.9813
0.5000 0.3035 0.6071
```

Computed properties:
Calculated density: 7.4 g cm⁻³
D(E_F): 2.587 states/eV per cell
Energy relative to the elements: -0.29 eV/f.u.
Space-group type: Amm2 (38)
Calculated volume: 100 Å³/cell



First-principles (SCAN) data for a crystal of Tl2Te2O5 relaxed with PBEsol, as listed in Alexandria via LeMat-Bulk.

Geometry as POSCAR:
```
Tl2Te2O5
1.0
7.1535 -0.0312 0.0000
-3.4519 7.6503 0.0000
0.0000 0.0000 11.8598
Tl Te O
8 8 20
direct
0.7829 0.0171 0.4406
0.2171 0.4829 0.9406
0.2171 0.9829 0.5594
0.7829 0.5171 0.0594
0.4897 0.2150 0.2891
0.5103 0.2850 0.7891
0.5103 0.7850 0.7109
0.4897 0.7150 0.2109
0.0617 0.7879 0.2966
0.9383 0.7121 0.7966
0.9383 0.2121 0.7034
0.0617 0.2879 0.2034
0.7828 0.5033 0.5284
0.2172 0.9967 0.0284
0.2172 0.4967 0.4716
0.7828 0.0033 0.9716
0.1260 0.0193 0.3475
0.8740 0.4807 0.8475
0.8740 0.9807 0.6525
0.1260 0.5193 0.1525
0.2769 0.7561 0.3767
0.7231 0.7439 0.8767
0.7231 0.2439 0.6233
0.2769 0.2561 0.1233
0.0508 0.5704 0.5975
0.9492 0.9296 0.0975
0.9492 0.4296 0.4025
0.0508 0.0704 0.9025
0.7124 0.5961 0.6728
0.2876 0.9039 0.1728
0.2876 0.4039 0.3272
0.7124 0.0961 0.8272
0.8833 0.2331 0.0475
0.1167 0.2669 0.5475
0.1167 0.7669 0.9525
0.8833 0.7331 0.4525
```

Computed properties:
Calculated density: 7.6 g cm⁻³
D(E_F): 0.000 states/eV per cell
Space-group type: P2_1/c (14)
Calculated volume: 648 Å³/cell



First-principles (SCAN) data for a crystal of Y3ZrSi relaxed with PBEsol, as listed in Alexandria via LeMat-Bulk.

Geometry as POSCAR:
```
Y3ZrSi
1.0
5.3366 0.0000 0.0000
0.0000 5.3366 0.0000
0.0000 0.0000 5.3366
Y Si Zr
3 1 1
direct
0.0000 0.5000 0.0000
0.5000 0.0000 0.0000
0.0000 0.0000 0.5000
0.0000 0.0000 0.0000
0.5000 0.5000 0.5000
```

Computed properties:
Calculated density: 4.2 g cm⁻³
D(E_F): 6.449 states/eV per cell
Space-group type: Pm-3m (221)
Calculated volume: 152 Å³/cell



First-principles (SCAN) data for a crystal of Sc2NbIrO relaxed with PBEsol, as listed in Alexandria via LeMat-Bulk.

Geometry as POSCAR:
```
Sc2NbIrO
1.0
4.1541 0.0000 0.0000
0.0000 4.1541 0.0000
0.0000 0.0000 4.5057
Sc Nb Ir O
2 1 1 1
direct
0.0000 0.5000 0.0000
0.5000 0.0000 0.0000
0.5000 0.5000 0.5000
0.0000 0.0000 0.5000
0.0000 0.0000 0.0000
```

Computed properties:
Calculated density: 8.4 g cm⁻³
D(E_F): 5.540 states/eV per cell
Space-group type: P4/mmm (123)
Calculated volume: 78 Å³/cell



First-principles (SCAN) data for a crystal of SnGeP2 relaxed with PBEsol, as listed in Alexandria via LeMat-Bulk.

Geometry as POSCAR:
```
SnGeP2
1.0
-3.4397 -1.2711 -2.8812
-1.3555 -4.4582 -0.1891
-4.1466 -1.2517 1.7284
P Ge Sn
2 1 1
direct
0.2500 0.2500 0.2500
0.7500 0.7500 0.7500
0.0000 0.0000 0.0000
0.5000 0.5000 0.5000
```

Computed properties:
Calculated density: 5.9 g cm⁻³
D(E_F): 1.842 states/eV per cell
Energy relative to the elements: 2.40 eV/f.u.
Space-group type: Fm-3m (225)
Calculated volume: 72 Å³/cell



Number 1: E_tot -3.5303 Ry per atom. Number 2: E_tot -1.7733 Ry per atom. Number 3: E_tot -3.2436 Ry per atom. Number 4: E_tot -2.1655 Ry per atom. Number 5: E_tot -1.4974 Ry per atom. Number 6: E_tot -2.2187 Ry per atom. Number 7: E_tot -3.6060 Ry per atom. Number 8: E_tot -2.4663 Ry per atom. Number 9: E_tot -2.1217 Ry per atom. Number 10: E_tot -1.8160 Ry per atom. Number 11: E_tot -2.1079 Ry per atom. Number 12: E_tot -1.3488 Ry per atom.